! Tb3GaP2Rh9, optimized geometry, DFT PBE-GGA; values from VASP
! - DFT formation energy: -653 meV per atom
! - Magnetization: 0.0 Bohr magnetons per cell
! - D(E_F): 8.58 states/eV/f.u.
&SYSTEM
  ibrav = 0, nat = 15, ntyp = 4
/
ATOMIC_SPECIES
Tb 158.93 Tb.upf
Ga 69.72 Ga.upf
P 30.97 P.upf
Rh 102.91 Rh.upf
CELL_PARAMETERS angstrom
6.0463 0.0000 0.0000
-3.0232 5.2363 0.0000
0.0000 0.0000 8.8366
ATOMIC_POSITIONS angstrom
Tb 0.0000 0.0000 0.0000
Tb 0.0000 3.4908 6.0788
Tb 3.0232 1.7454 2.7578
Ga 0.0000 0.0000 4.4183
P 0.0000 3.4908 1.4578
P 3.0232 1.7454 7.3788
Rh -1.5116 2.6181 0.0000
Rh 0.0000 1.5777 2.4861
Rh -1.6569 4.4474 2.4861
Rh 1.3663 0.7888 6.3504
Rh 3.0232 0.0000 0.0000
Rh 1.5116 2.6181 0.0000
Rh 1.6569 4.4474 2.4861
Rh 4.6800 0.7888 6.3504
Rh 3.0232 3.6586 6.3504